*A*
La2TbHg2 | PBE | relaxed

Values from the calculation:
crystal system = orthorhombic
total moment = 0.000 μB per atom
theoretical density = 9.1 Mg/m³

```
data_La2TbHg2
_cell_length_a 6.126
_cell_length_b 6.126
_cell_length_c 6.126
_cell_angle_alpha 132.43
_cell_angle_beta 107.76
_cell_angle_gamma 91.17
_symmetry_space_group_name_H-M 'P 1'
_symmetry_Int_Tables_number 1
loop_
_symmetry_equiv_pos_as_xyz
'x,y,z'
loop_
_atom_site_label
_atom_site_fract_x
_atom_site_fract_y
_atom_site_fract_z
La1 0.189 0.189 0.000
La2 0.811 0.811 0.000
Tb1 0.500 0.000 0.500
Hg1 0.223 0.500 0.723
Hg2 0.777 0.500 0.277
```

*B*
La2TbHg2 | PBE | relaxed

Values from the calculation:
crystal system = monoclinic
total moment = 0.035 μB per atom
theoretical density = 9.4 Mg/m³

```
data_La2TbHg2
_cell_length_a 3.793
_cell_length_b 5.403
_cell_length_c 14.626
_cell_angle_alpha 90.00
_cell_angle_beta 97.42
_cell_angle_gamma 90.00
_symmetry_space_group_name_H-M 'P 1'
_symmetry_Int_Tables_number 1
loop_
_symmetry_equiv_pos_as_xyz
'x,y,z'
loop_
_atom_site_label
_atom_site_fract_x
_atom_site_fract_y
_atom_site_fract_z
La1 0.043 0.250 0.085
La2 0.232 0.250 0.466
La3 0.768 0.750 0.534
La4 0.957 0.750 0.915
Tb1 0.148 0.750 0.294
Tb2 0.852 0.250 0.706
Hg1 0.362 0.750 0.722
Hg2 0.440 0.250 0.882
Hg3 0.560 0.750 0.118
Hg4 0.638 0.250 0.278
```

Of them, the most stable is *B* and the least stable is *A*.

*A*
La2Tb2Hg | PBE | relaxed

Values from the calculation:
crystal system = tetragonal
total moment = 0.001 μB per atom
theoretical density = 7.6 Mg/m³

```
data_La2Tb2Hg
_cell_length_a 13.486
_cell_length_b 13.486
_cell_length_c 13.486
_cell_angle_alpha 157.84
_cell_angle_beta 157.84
_cell_angle_gamma 31.54
_symmetry_space_group_name_H-M 'P 1'
_symmetry_Int_Tables_number 1
loop_
_symmetry_equiv_pos_as_xyz
'x,y,z'
loop_
_atom_site_label
_atom_site_fract_x
_atom_site_fract_y
_atom_site_fract_z
La1 0.052 0.302 0.750
La2 0.302 0.052 0.250
La3 0.698 0.948 0.750
La4 0.948 0.698 0.250
Tb1 0.201 0.451 0.750
Tb2 0.451 0.201 0.250
Tb3 0.549 0.799 0.750
Tb4 0.799 0.549 0.250
Hg1 0.375 0.625 0.750
Hg2 0.625 0.375 0.250
```

*B*
La2Tb2Hg | PBE | relaxed

Values from the calculation:
crystal system = tetragonal
total moment = 0.145 μB per atom
theoretical density = 8.4 Mg/m³

```
data_La2Tb2Hg
_cell_length_a 11.849
_cell_length_b 11.849
_cell_length_c 11.849
_cell_angle_alpha 162.04
_cell_angle_beta 162.04
_cell_angle_gamma 25.50
_symmetry_space_group_name_H-M 'P 1'
_symmetry_Int_Tables_number 1
loop_
_symmetry_equiv_pos_as_xyz
'x,y,z'
loop_
_atom_site_label
_atom_site_fract_x
_atom_site_fract_y
_atom_site_fract_z
La1 0.192 0.192 0.000
La2 0.808 0.808 0.000
Tb1 0.418 0.418 0.000
Tb2 0.582 0.582 0.000
Hg1 0.000 0.000 0.000
```

Of them, the most stable is *B* and the least stable is *A*.

*A*
LaTb2Hg2 | PBE | relaxed

Values from the calculation:
crystal system = monoclinic
total moment = 0.000 μB per atom
theoretical density = 9.9 Mg/m³

```
data_LaTb2Hg2
_cell_length_a 3.781
_cell_length_b 5.472
_cell_length_c 14.005
_cell_angle_alpha 90.00
_cell_angle_beta 97.75
_cell_angle_gamma 90.00
_symmetry_space_group_name_H-M 'P 1'
_symmetry_Int_Tables_number 1
loop_
_symmetry_equiv_pos_as_xyz
'x,y,z'
loop_
_atom_site_label
_atom_site_fract_x
_atom_site_fract_y
_atom_site_fract_z
La1 0.147 0.250 0.291
La2 0.853 0.750 0.709
Tb1 0.049 0.750 0.097
Tb2 0.236 0.750 0.472
Tb3 0.764 0.250 0.528
Tb4 0.951 0.250 0.903
Hg1 0.355 0.250 0.712
Hg2 0.457 0.750 0.912
Hg3 0.543 0.250 0.088
Hg4 0.645 0.750 0.288
```

*B*
LaTb2Hg2 | PBE | relaxed

Values from the calculation:
crystal system = trigonal
total moment = 0.147 μB per atom
theoretical density = 9.1 Mg/m³

```
data_LaTb2Hg2
_cell_length_a 5.314
_cell_length_b 5.314
_cell_length_c 6.374
_cell_angle_alpha 90.00
_cell_angle_beta 90.00
_cell_angle_gamma 120.00
_symmetry_space_group_name_H-M 'P 1'
_symmetry_Int_Tables_number 1
loop_
_symmetry_equiv_pos_as_xyz
'x,y,z'
loop_
_atom_site_label
_atom_site_fract_x
_atom_site_fract_y
_atom_site_fract_z
La1 0.000 0.000 0.000
Tb1 0.333 0.667 0.657
Tb2 0.667 0.333 0.343
Hg1 0.333 0.667 0.179
Hg2 0.667 0.333 0.821
```

Of them, the most stable is *A* and the least stable is *B*.

*A*
La3TbHg | PBE | relaxed

Values from the calculation:
crystal system = monoclinic
total moment = 0.000 μB per atom
theoretical density = 7.6 Mg/m³

```
data_La3TbHg
_cell_length_a 11.614
_cell_length_b 11.614
_cell_length_c 8.342
_cell_angle_alpha 104.90
_cell_angle_beta 104.90
_cell_angle_gamma 18.21
_symmetry_space_group_name_H-M 'P 1'
_symmetry_Int_Tables_number 1
loop_
_symmetry_equiv_pos_as_xyz
'x,y,z'
loop_
_atom_site_label
_atom_site_fract_x
_atom_site_fract_y
_atom_site_fract_z
La1 0.015 0.015 0.248
La2 0.175 0.175 0.460
La3 0.380 0.380 0.968
La4 0.620 0.620 0.032
La5 0.825 0.825 0.540
La6 0.985 0.985 0.752
Tb1 0.260 0.260 0.174
Tb2 0.740 0.740 0.826
Hg1 0.417 0.417 0.387
Hg2 0.583 0.583 0.613
```

*B*
La3TbHg | PBE | relaxed

Values from the calculation:
crystal system = orthorhombic
total moment = 0.000 μB per atom
theoretical density = 7.4 Mg/m³

```
data_La3TbHg
_cell_length_a 3.895
_cell_length_b 10.893
_cell_length_c 8.250
_cell_angle_alpha 90.00
_cell_angle_beta 90.00
_cell_angle_gamma 90.00
_symmetry_space_group_name_H-M 'P 1'
_symmetry_Int_Tables_number 1
loop_
_symmetry_equiv_pos_as_xyz
'x,y,z'
loop_
_atom_site_label
_atom_site_fract_x
_atom_site_fract_y
_atom_site_fract_z
La1 0.250 0.002 0.245
La2 0.250 0.250 0.548
La3 0.250 0.498 0.245
La4 0.750 0.502 0.755
La5 0.750 0.750 0.452
La6 0.750 0.998 0.755
Tb1 0.250 0.250 0.941
Tb2 0.750 0.750 0.059
Hg1 0.250 0.750 0.773
Hg2 0.750 0.250 0.227
```

Of them, the most stable is *B* and the least stable is *A*.

*A*
LaTbZnHg | PBE | relaxed

Values from the calculation:
crystal system = tetragonal
total moment = 0.000 μB per atom
theoretical density = 8.9 Mg/m³

```
data_LaTbZnHg
_cell_length_a 3.702
_cell_length_b 3.702
_cell_length_c 7.654
_cell_angle_alpha 90.00
_cell_angle_beta 90.00
_cell_angle_gamma 90.00
_symmetry_space_group_name_H-M 'P 1'
_symmetry_Int_Tables_number 1
loop_
_symmetry_equiv_pos_as_xyz
'x,y,z'
loop_
_atom_site_label
_atom_site_fract_x
_atom_site_fract_y
_atom_site_fract_z
La1 0.000 0.000 0.000
Tb1 0.000 0.000 0.466
Zn1 0.500 0.500 0.254
Hg1 0.500 0.500 0.709
```

*B*
LaTbZnHg | PBE | relaxed

Values from the calculation:
crystal system = cubic
total moment = 0.173 μB per atom
theoretical density = 8.8 Mg/m³

```
data_LaTbZnHg
_cell_length_a 5.325
_cell_length_b 5.325
_cell_length_c 5.325
_cell_angle_alpha 60.00
_cell_angle_beta 60.00
_cell_angle_gamma 60.00
_symmetry_space_group_name_H-M 'P 1'
_symmetry_Int_Tables_number 1
loop_
_symmetry_equiv_pos_as_xyz
'x,y,z'
loop_
_atom_site_label
_atom_site_fract_x
_atom_site_fract_y
_atom_site_fract_z
La1 0.000 0.000 0.000
Tb1 0.500 0.500 0.500
Zn1 0.750 0.750 0.750
Hg1 0.250 0.250 0.250
```

Of them, the most stable is *A* and the least stable is *B*.

*A*
La3TcHg | PBE | relaxed

Values from the calculation:
crystal system = cubic
total moment = 0.000 μB per atom
theoretical density = 7.3 Mg/m³

```
data_La3TcHg
_cell_length_a 5.452
_cell_length_b 5.452
_cell_length_c 5.452
_cell_angle_alpha 90.00
_cell_angle_beta 90.00
_cell_angle_gamma 90.00
_symmetry_space_group_name_H-M 'P 1'
_symmetry_Int_Tables_number 1
loop_
_symmetry_equiv_pos_as_xyz
'x,y,z'
loop_
_atom_site_label
_atom_site_fract_x
_atom_site_fract_y
_atom_site_fract_z
La1 0.000 0.000 0.500
La2 0.000 0.500 0.000
La3 0.500 0.000 0.000
Tc1 0.000 0.000 0.000
Hg1 0.500 0.500 0.500
```

*B*
La3TcHg | PBE | relaxed

Values from the calculation:
crystal system = orthorhombic
total moment = 0.000 μB per atom
theoretical density = 8.3 Mg/m³

```
data_La3TcHg
_cell_length_a 9.646
_cell_length_b 8.818
_cell_length_c 6.207
_cell_angle_alpha 77.74
_cell_angle_beta 63.30
_cell_angle_gamma 38.96
_symmetry_space_group_name_H-M 'P 1'
_symmetry_Int_Tables_number 1
loop_
_symmetry_equiv_pos_as_xyz
'x,y,z'
loop_
_atom_site_label
_atom_site_fract_x
_atom_site_fract_y
_atom_site_fract_z
La1 0.194 0.586 0.414
La2 0.199 0.199 0.801
La3 0.414 0.806 0.194
La4 0.586 0.194 0.806
La5 0.801 0.801 0.199
La6 0.806 0.414 0.586
Tc1 0.250 0.250 0.250
Tc2 0.750 0.750 0.750
Hg1 0.211 0.789 0.789
Hg2 0.789 0.211 0.211
```

Of them, the most stable is *B* and the least stable is *A*.

*A*
LaTcHg3 | PBE | relaxed

Values from the calculation:
crystal system = cubic
total moment = 0.589 μB per atom
theoretical density = 6.7 Mg/m³

```
data_LaTcHg3
_cell_length_a 5.932
_cell_length_b 5.932
_cell_length_c 5.932
_cell_angle_alpha 90.00
_cell_angle_beta 90.00
_cell_angle_gamma 90.00
_symmetry_space_group_name_H-M 'P 1'
_symmetry_Int_Tables_number 1
loop_
_symmetry_equiv_pos_as_xyz
'x,y,z'
loop_
_atom_site_label
_atom_site_fract_x
_atom_site_fract_y
_atom_site_fract_z
La1 0.000 0.000 0.000
Tc1 0.500 0.500 0.500
Hg1 0.000 0.000 0.500
Hg2 0.000 0.500 0.000
Hg3 0.500 0.000 0.000
```

*B*
LaTcHg3 | PBE | relaxed

Values from the calculation:
crystal system = cubic
total moment = 0.000 μB per atom
theoretical density = 9.9 Mg/m³

```
data_LaTcHg3
_cell_length_a 5.197
_cell_length_b 5.197
_cell_length_c 5.197
_cell_angle_alpha 90.00
_cell_angle_beta 90.00
_cell_angle_gamma 90.00
_symmetry_space_group_name_H-M 'P 1'
_symmetry_Int_Tables_number 1
loop_
_symmetry_equiv_pos_as_xyz
'x,y,z'
loop_
_atom_site_label
_atom_site_fract_x
_atom_site_fract_y
_atom_site_fract_z
La1 0.000 0.000 0.000
Tc1 0.500 0.500 0.500
Hg1 0.000 0.500 0.500
Hg2 0.500 0.000 0.500
Hg3 0.500 0.500 0.000
```

Of them, the most stable is *B* and the least stable is *A*.